1.
A plane-wave DFT calculation with PBEsol was carried out for crystalline BeAlTc2 at its relaxed geometry.

Cell lengths 3.8745, 4.8872, 4.8872 Å; angles 32.95, 90.00, 90.00 degrees
Atoms (fractional coordinates):
Be  0.0000  0.0000  0.0000
Al  0.5000  0.1329  0.1329
Tc  0.0000  0.7500  0.7500
Tc  0.5000  0.3979  0.3979

* energy relative to the lowest polymorph listed for this composition: 0.000 eV per atom
* volume: 50 Å³/f.u.
* formation energy: -0.092 eV per atom
* SG: Amm2, No. 38



2.
A plane-wave DFT calculation with PBEsol was carried out for crystalline Be2AlTc2 at its relaxed geometry.

Cell lengths 5.9511, 5.9511, 3.1213 Å; angles 90.00, 90.00, 90.00 degrees
Atoms (fractional coordinates):
Be  0.1193  0.3807  0.0000
Be  0.3807  0.8807  0.0000
Be  0.6193  0.1193  0.0000
Be  0.8807  0.6193  0.0000
Al  0.0000  0.0000  0.0000
Al  0.5000  0.5000  0.0000
Tc  0.1754  0.6754  0.5000
Tc  0.3246  0.1754  0.5000
Tc  0.6754  0.8246  0.5000
Tc  0.8246  0.3246  0.5000

* volume: 55 Å³/f.u.
* formation energy: -0.410 eV per atom
* SG: P4/mbm, No. 127



3.
A plane-wave DFT calculation with PBEsol was carried out for crystalline BeAlTc2 at its relaxed geometry.

Cell lengths 4.7606, 4.7606, 2.6128 Å; angles 99.37, 99.37, 114.30 degrees
Atoms (fractional coordinates):
Be  0.0000  0.0000  0.0000
Al  0.5000  0.5000  0.0000
Tc  0.0000  0.5000  0.5000
Tc  0.5000  0.0000  0.5000

* energy relative to the lowest polymorph listed for this composition: 0.071 eV per atom
* volume: 51 Å³/f.u.
* formation energy: -0.021 eV per atom
* SG: C2/m, No. 12